Compound: Pr2TiI
Source: the Alexandria database
Functional: PBE
Structure: relaxed

Output
Total magnetic moment   5.59 μB per cell
E_form (uncorrected)   167 meV/atom

Cell: 3.5755 3.5755 33.9463 Å, 90.00 90.00 120.00°
Space group R-3m (No. 166, hexagonal axes)
One atom of each set of equivalent atoms:
1 Pr 0.0000 0.0000 0.0892
2 Ti 0.0000 0.0000 0.0000
3 I 0.0000 0.0000 0.5000



Compound: Pr2Tl5I12
Source: the Alexandria database
Functional: PBE
Structure: relaxed

Output
Total magnetic moment   0.00 μB per cell
E_form (uncorrected)   -892 meV/atom

Cell: 19.1458 9.1260 11.1800 Å, 90.00 109.74 90.00°
Space group C2/m (No. 12)
One atom of each set of equivalent atoms:
1 Pr 0.0000 0.2463 0.0000
2 Tl 0.0000 0.5000 0.5000
3 Tl 0.1837 0.0000 0.8159
4 Tl 0.2219 0.0000 0.3730
5 I 0.0006 0.5000 0.8074
6 I 0.0071 0.0000 0.2062
7 I 0.1304 0.2545 0.5588
8 I 0.1714 0.2329 0.0938



Compound: Pr2TlI3
Source: the Alexandria database
Functional: PBE
Structure: relaxed

Output
Total magnetic moment   0.93 μB per cell
E_form (uncorrected)   -944 meV/atom

Cell: 21.0165 4.3206 14.4399 Å, 90.00 129.50 90.00°
Space group C2/m (No. 12)
One atom of each set of equivalent atoms:
1 Pr 0.1104 0.0000 0.4323
2 Pr 0.1276 0.5000 0.8283
3 Tl 0.0738 0.0000 0.6259
4 I 0.0441 0.5000 0.2206
5 I 0.1762 0.0000 0.0346
6 I 0.2469 0.5000 0.6169



Compound: Pr2TlI
Source: the Alexandria database
Functional: PBE
Structure: relaxed

Output
Total magnetic moment   2.15 μB per cell
E_form (uncorrected)   -536 meV/atom
Energy relative to the lowest polymorph listed for this composition   10.9 kJ/mol of atoms

Cell: 3.9561 3.9561 29.4540 Å, 90.00 90.00 120.00°
Space group R3m (No. 160, hexagonal axes)
One atom of each set of equivalent atoms:
1 Pr 0.0000 0.0000 0.0000
2 Pr 0.0000 0.0000 0.1658
3 Tl 0.0000 0.0000 0.4165
4 I 0.0000 0.0000 0.5830



Compound: Pr2TlI
Source: the Alexandria database
Functional: PBE
Structure: relaxed

Output
Total magnetic moment   0.00 μB per cell
E_form (uncorrected)   -615 meV/atom
Energy relative to the lowest polymorph listed for this composition   3.2 kJ/mol of atoms

Cell: 3.7864 3.7864 8.6329 Å, 90.00 90.00 90.00°
Space group P4/mmm (No. 123)
One atom of each set of equivalent atoms:
1 Pr 0.0000 0.0000 0.2379
2 Tl 0.5000 0.5000 0.0000
3 I 0.5000 0.5000 0.5000



Compound: Pr2TlI
Source: the Alexandria database
Functional: PBE
Structure: relaxed

Output
Total magnetic moment   0.00 μB per cell
E_form (uncorrected)   -649 meV/atom
Energy relative to the lowest polymorph listed for this composition   0.0 kJ/mol of atoms

Cell: 9.1741 18.2561 7.9370 Å, 90.00 124.80 90.00°
Space group C2/c (No. 15)
One atom of each set of equivalent atoms:
1 Pr 0.2244 0.0630 0.2366
2 Pr 0.2434 0.1880 0.7383
3 Tl 0.0000 0.0674 0.7500
4 Tl 0.0000 0.1921 0.2500
5 I 0.0000 0.3164 0.7500
6 I 0.0000 0.4410 0.2500



Compound: PrTl5I8
Source: the Alexandria database
Functional: PBE
Structure: relaxed

Output
Total magnetic moment   0.00 μB per cell
E_form (uncorrected)   -853 meV/atom

Cell: 10.4587 10.4587 10.5680 Å, 90.00 90.00 90.00°
Space group I-4 (No. 82)
One atom of each set of equivalent atoms:
1 Pr 0.0000 0.0000 0.0000
2 Tl 0.0000 0.5000 0.2500
3 Tl 0.1353 0.7606 0.6141
4 I 0.0658 0.8278 0.2728
5 I 0.0682 0.7061 0.9293



Compound: Pr4Tl2I
Source: the Alexandria database
Functional: PBE
Structure: relaxed

Output
Total magnetic moment   0.00 μB per cell
E_form (uncorrected)   -205 meV/atom

Cell: 13.4603 13.4955 9.5293 Å, 90.00 134.90 90.00°
Space group Cc (No. 9)
One atom of each set of equivalent atoms:
1 Pr 0.0000 0.0185 0.0000
2 Pr 0.0730 0.4816 0.0741
3 Pr 0.2856 0.2682 0.4994
4 Pr 0.2868 0.2685 0.0734
5 Tl 0.0361 0.2503 0.0362
6 Tl 0.2866 0.5002 0.0372
7 I 0.2864 0.1249 0.7867



Compound: Pr2TlI
Source: the Alexandria database
Functional: PBE
Structure: relaxed

Output
Total magnetic moment   0.00 μB per cell
E_form (uncorrected)   -632 meV/atom
Energy relative to the lowest polymorph listed for this composition   1.6 kJ/mol of atoms

Cell: 4.6171 4.6171 22.3733 Å, 90.00 90.00 120.00°
Space group R-3m (No. 166, hexagonal axes)
One atom of each set of equivalent atoms:
1 Pr 0.0000 0.0000 0.2429
2 Tl 0.0000 0.0000 0.5000
3 I 0.0000 0.0000 0.0000



Compound: Pr3TlI
Source: the Alexandria database
Functional: PBE
Structure: relaxed

Output
Total magnetic moment   0.00 μB per cell
E_form (uncorrected)   -424 meV/atom

Cell: 14.3478 13.4633 7.3372 Å, 90.00 109.63 90.00°
Space group C2/c (No. 15)
One atom of each set of equivalent atoms:
1 Pr 0.0833 0.1824 0.0281
2 Pr 0.1722 0.2896 0.6409
3 Pr 0.1911 0.4437 0.1296
4 Tl 0.0000 0.3707 0.2500
5 Tl 0.0000 0.3947 0.7500
6 I 0.1267 0.0651 0.4428



Compound: PrTmI2
Source: the Alexandria database
Functional: PBE
Structure: relaxed

Output
Total magnetic moment   0.00 μB per cell
E_form (uncorrected)   -700 meV/atom

Cell: 3.9095 3.9095 32.3227 Å, 90.00 90.00 120.00°
Space group R-3m (No. 166, hexagonal axes)
One atom of each set of equivalent atoms:
1 Pr 0.0000 0.0000 0.0000
2 Tm 0.0000 0.0000 0.5000
3 I 0.0000 0.0000 0.4058



Compound: PrVI
Source: the Alexandria database
Functional: PBE
Structure: relaxed

Output
Total magnetic moment   1.57 μB per cell
E_form (uncorrected)   -330 meV/atom

Cell: 4.0611 21.1115 4.2543 Å, 90.00 90.00 90.00°
Space group Cmcm (No. 63)
One atom of each set of equivalent atoms:
1 Pr 0.0000 0.0888 0.2500
2 V 0.0000 0.4787 0.2500
3 I 0.0000 0.3325 0.2500



Q: Among the records above, which one has the lowest E_form (uncorrected)?
A: Pr2TlI3



Q: Among the records above, which one has the lowest E_form (uncorrected)?
A: Pr2TlI3



Q: Number 11 is which compound?
A: PrTmI2